This record from Alexandria via LeMat-Bulk describes a geometry-optimized BePt3 structure. The functional is PBE-GGA.

abc: 2.7732 2.7732 8.3973
angles: 90.00 90.00 120.00
Space group P-6m2 (No. 187)
Inequivalent atoms, fractional coordinates:
Be1 0.0000 0.0000 0.0000 (multiplicity 1)
Pt1 0.0000 0.0000 0.5000 (multiplicity 1)
Pt2 0.3333 0.6667 0.2063 (multiplicity 2)

Output
Magnetic moment in μB/atom: 0.0000
Energy relative to the elements in eV/atom: -0.3693
DFT total energy in eV/atom: -5.831


This record from Alexandria via LeMat-Bulk describes a geometry-optimized Hf3Ti4Bi2 structure. The functional is PBE-GGA.

abc: 10.361 3.873 9.782
angles: 90.00 109.26 90.00
Space group C2/m (No. 12)
Inequivalent atoms, fractional coordinates:
Hf1 0.000 0.000 0.000 (multiplicity 2)
Hf2 0.150 0.500 0.543 (multiplicity 4)
Ti1 0.006 0.000 0.682 (multiplicity 4)
Ti2 0.169 0.500 0.897 (multiplicity 4)
Bi1 0.174 0.500 0.224 (multiplicity 4)

Output
Magnetic moment in μB/atom: 0.0007
Energy relative to the elements in eV/atom: -0.0305
DFT total energy in eV/atom: -7.720


This record from Alexandria via LeMat-Bulk describes a geometry-optimized AsIr2Rh structure. The functional is PBE-GGA.

abc: 2.8467 2.8467 25.2991
angles: 90.00 90.00 120.00
Space group R3m (No. 160, hexagonal axes)
Inequivalent atoms, fractional coordinates:
As1 0.0000 0.0000 0.0000 (multiplicity 3)
Ir1 0.0000 0.0000 0.2529 (multiplicity 3)
Ir2 0.0000 0.0000 0.4995 (multiplicity 3)
Rh1 0.0000 0.0000 0.7449 (multiplicity 3)

Output
Magnetic moment in μB/atom: 0.0774
Energy relative to the elements in eV/atom: 0.0962
DFT total energy in eV/atom: -7.335


This record from Alexandria via LeMat-Bulk describes a geometry-optimized Tb2Ga4Ge structure. The functional is PBE-GGA.

abc: 5.808 5.829 8.730
angles: 90.00 103.04 90.00
Space group P2_1/m (No. 11)
Inequivalent atoms, fractional coordinates:
Tb1 0.099 0.250 0.397 (multiplicity 2)
Tb2 0.265 0.750 0.014 (multiplicity 2)
Ga1 0.274 0.250 0.107 (multiplicity 2)
Ga2 0.299 0.750 0.426 (multiplicity 2)
Ga3 0.400 0.514 0.698 (multiplicity 4)
Ge1 0.109 0.250 0.800 (multiplicity 2)

Output
Magnetic moment in μB/atom: 0.0000
Energy relative to the elements in eV/atom: -0.4753
DFT total energy in eV/atom: -4.187


This record from Alexandria via LeMat-Bulk describes a geometry-optimized SrTaAsO6 structure. The functional is PBE-GGA.

abc: 5.1924 5.1924 5.3999
angles: 90.00 90.00 120.00
Space group P312 (No. 149)
Inequivalent atoms, fractional coordinates:
Sr1 0.0000 0.0000 0.0000 (multiplicity 1)
Ta1 0.6667 0.3333 0.5000 (multiplicity 1)
As1 0.3333 0.6667 0.5000 (multiplicity 1)
O1 0.0187 0.3930 0.6988 (multiplicity 6)

Output
Magnetic moment in μB/atom: 0.0000
Raw formation energy in eV per atom: -2.34
DFT total energy in eV/atom: -7.668


This record from Alexandria via LeMat-Bulk describes a geometry-optimized SmMgZr structure. The functional is PBE-GGA.

abc: 3.387 3.387 13.770
angles: 90.00 90.00 90.00
Space group I4mm (No. 107)
Inequivalent atoms, fractional coordinates:
Sm1 0.000 0.000 0.000 (multiplicity 2)
Mg1 0.000 0.000 0.318 (multiplicity 2)
Zr1 0.000 0.000 0.668 (multiplicity 2)

Output
Excess energy over the best structure of this formula in the dataset in meV/atom: 0.0
Magnetic moment in μB/atom: 0.0000
Energy relative to the elements in eV/atom: 0.0374
DFT total energy in eV/atom: -4.917


This record from Alexandria via LeMat-Bulk describes a geometry-optimized ZrZnRe2 structure. The functional is PBE-GGA.

abc: 3.907 3.907 4.261
angles: 90.00 90.00 90.00
Space group P4/mmm (No. 123)
Inequivalent atoms, fractional coordinates:
Zr1 0.000 0.000 0.000 (multiplicity 1)
Zn1 0.500 0.500 0.000 (multiplicity 1)
Re1 0.000 0.500 0.500 (multiplicity 2)

Output
Magnetic moment in μB/atom: 0.0000
Energy relative to the elements in eV/atom: 0.0911
DFT total energy in eV/atom: -8.588


This record from Alexandria via LeMat-Bulk describes a geometry-optimized Rb2Cd2Cl5 structure. The functional is PBE-GGA.

abc: 14.842 5.529 7.963
angles: 90.00 114.02 90.00
Space group C2/m (No. 12)
Inequivalent atoms, fractional coordinates:
Rb1 0.108 0.000 0.304 (multiplicity 4)
Cd1 0.143 0.500 0.871 (multiplicity 4)
Cl1 0.000 0.500 0.000 (multiplicity 2)
Cl2 0.149 0.500 0.552 (multiplicity 4)
Cl3 0.151 0.000 0.911 (multiplicity 4)

Output
Excess energy over the best structure of this formula in the dataset in meV/atom: 9.9
Magnetic moment in μB/atom: 0.0000
Raw formation energy in eV per atom: -1.32
DFT total energy in eV/atom: -2.768


This record from Alexandria via LeMat-Bulk describes a geometry-optimized SrAcHg2 structure. The functional is PBE-GGA.

abc: 4.3699 4.3699 26.8825
angles: 90.00 90.00 120.00
Space group R3m (No. 160, hexagonal axes)
Inequivalent atoms, fractional coordinates:
Sr1 0.0000 0.0000 0.0000 (multiplicity 3)
Ac1 0.0000 0.0000 0.1672 (multiplicity 3)
Hg1 0.0000 0.0000 0.4171 (multiplicity 3)
Hg2 0.0000 0.0000 0.5833 (multiplicity 3)

Output
Excess energy over the best structure of this formula in the dataset in meV/atom: 146.7
Magnetic moment in μB/atom: 0.0000
Energy relative to the elements in eV/atom: -0.3833
DFT total energy in eV/atom: -1.982


This record from Alexandria via LeMat-Bulk describes a geometry-optimized Na10B17C3 structure. The functional is PBE-GGA.

abc: 8.692 2.822 26.724
angles: 90.00 90.00 90.00
Space group Amm2 (No. 38)
Inequivalent atoms, fractional coordinates:
Na1 0.248 0.000 0.000 (multiplicity 4)
Na2 0.249 0.000 0.400 (multiplicity 4)
Na3 0.250 0.000 0.601 (multiplicity 4)
Na4 0.251 0.000 0.802 (multiplicity 4)
Na5 0.252 0.000 0.202 (multiplicity 4)
B1 0.000 0.000 0.074 (multiplicity 2)
B2 0.000 0.000 0.137 (multiplicity 2)
B3 0.000 0.000 0.268 (multiplicity 2)
B4 0.000 0.000 0.467 (multiplicity 2)
B5 0.000 0.000 0.531 (multiplicity 2)
B6 0.000 0.000 0.679 (multiplicity 2)
B7 0.000 0.000 0.859 (multiplicity 2)
B8 0.000 0.000 0.926 (multiplicity 2)
B9 0.500 0.000 0.066 (multiplicity 2)
B10 0.500 0.000 0.129 (multiplicity 2)
B11 0.500 0.000 0.272 (multiplicity 2)
B12 0.500 0.000 0.336 (multiplicity 2)
B13 0.500 0.000 0.527 (multiplicity 2)
B14 0.500 0.000 0.670 (multiplicity 2)
B15 0.500 0.000 0.732 (multiplicity 2)
B16 0.500 0.000 0.874 (multiplicity 2)
B17 0.500 0.000 0.939 (multiplicity 2)
C1 0.000 0.000 0.329 (multiplicity 2)
C2 0.000 0.000 0.737 (multiplicity 2)
C3 0.500 0.000 0.468 (multiplicity 2)

Output
Excess energy over the best structure of this formula in the dataset in meV/atom: 3.4
Magnetic moment in μB/atom: 0.0000
Energy relative to the elements in eV/atom: 0.2083
DFT total energy in eV/atom: -4.938


This record from Alexandria via LeMat-Bulk describes a geometry-optimized Sm2Zr3Ge4 structure. The functional is PBE-GGA.

abc: 7.510 7.507 7.319
angles: 90.00 109.27 90.00
Space group P2_1/c (No. 14)
Inequivalent atoms, fractional coordinates:
Sm1 0.189 0.172 0.067 (multiplicity 4)
Zr1 0.253 0.674 0.249 (multiplicity 4)
Zr2 0.500 0.000 0.500 (multiplicity 2)
Ge1 0.085 0.537 0.859 (multiplicity 4)
Ge2 0.491 0.131 0.864 (multiplicity 4)

Output
Magnetic moment in μB/atom: 0.0000
Energy relative to the elements in eV/atom: -0.8901
DFT total energy in eV/atom: -6.840


This record from Alexandria via LeMat-Bulk describes a geometry-optimized TlCrRe2 structure. The functional is PBE-GGA.

abc: 4.066 4.066 7.786
angles: 90.00 90.00 90.00
Space group I-4m2 (No. 119)
Inequivalent atoms, fractional coordinates:
Tl1 0.000 0.000 0.000 (multiplicity 2)
Cr1 0.000 0.500 0.750 (multiplicity 2)
Re1 0.000 0.000 0.500 (multiplicity 2)
Re2 0.000 0.500 0.250 (multiplicity 2)

Output
Excess energy over the best structure of this formula in the dataset in meV/atom: 291.9
Magnetic moment in μB/atom: 0.5948
Energy relative to the elements in eV/atom: 0.8071
DFT total energy in eV/atom: -8.414


This record from Alexandria via LeMat-Bulk describes a geometry-optimized HoTh2Ru2 structure. The functional is PBE-GGA.

abc: 9.630 7.575 6.894
angles: 90.00 106.71 90.00
Space group P2_1/c (No. 14)
Inequivalent atoms, fractional coordinates:
Ho1 0.083 0.197 0.038 (multiplicity 4)
Th1 0.233 0.624 0.252 (multiplicity 4)
Th2 0.427 0.220 0.478 (multiplicity 4)
Ru1 0.104 0.540 0.861 (multiplicity 4)
Ru2 0.364 0.535 0.689 (multiplicity 4)

Output
Magnetic moment in μB/atom: 0.0000
Energy relative to the elements in eV/atom: -0.4142
DFT total energy in eV/atom: -8.008


This record from Alexandria via LeMat-Bulk describes a geometry-optimized Cu4PtAu5 structure. The functional is PBE-GGA.

abc: 2.842 2.842 19.133
angles: 90.00 90.00 90.00
Space group P4/mmm (No. 123)
Inequivalent atoms, fractional coordinates:
Cu1 0.000 0.000 0.098 (multiplicity 2)
Cu2 0.000 0.000 0.294 (multiplicity 2)
Pt1 0.000 0.000 0.500 (multiplicity 1)
Au1 0.500 0.500 0.000 (multiplicity 1)
Au2 0.500 0.500 0.196 (multiplicity 2)
Au3 0.500 0.500 0.390 (multiplicity 2)

Output
Magnetic moment in μB/atom: 0.0000
Energy relative to the elements in eV/atom: -0.0280
DFT total energy in eV/atom: -3.909


This record from Alexandria via LeMat-Bulk describes a geometry-optimized CdRhPb3 structure. The functional is PBE-GGA.

abc: 11.039 8.847 6.911
angles: 90.00 128.12 90.00
Space group C2/m (No. 12)
Inequivalent atoms, fractional coordinates:
Cd1 0.061 0.000 0.253 (multiplicity 4)
Rh1 0.245 0.500 0.884 (multiplicity 4)
Pb1 0.065 0.500 0.330 (multiplicity 4)
Pb2 0.200 0.197 0.733 (multiplicity 8)

Output
Excess energy over the best structure of this formula in the dataset in meV/atom: 0.0
Magnetic moment in μB/atom: 0.0000
Energy relative to the elements in eV/atom: -0.0017
DFT total energy in eV/atom: -3.880


This record from Alexandria via LeMat-Bulk describes a geometry-optimized RbNiRh2 structure. The functional is PBE-GGA.

abc: 6.559 6.559 6.559
angles: 90.00 90.00 90.00
Space group Fm-3m (No. 225)
Inequivalent atoms, fractional coordinates:
Rb1 0.000 0.000 0.000 (multiplicity 4)
Ni1 0.000 0.000 0.500 (multiplicity 4)
Rh1 0.250 0.250 0.250 (multiplicity 8)

Output
Excess energy over the best structure of this formula in the dataset in meV/atom: 271.5
Magnetic moment in μB/atom: 0.6496
Energy relative to the elements in eV/atom: 1.1883
DFT total energy in eV/atom: -4.175


This record from Alexandria via LeMat-Bulk describes a geometry-optimized Pm2TlF7 structure. The functional is PBE-GGA.

abc: 7.335 11.729 4.530
angles: 90.00 90.00 90.00
Space group Cmmm (No. 65)
Inequivalent atoms, fractional coordinates:
Pm1 0.000 0.194 0.000 (multiplicity 4)
Tl1 0.000 0.500 0.500 (multiplicity 2)
F1 0.000 0.000 0.000 (multiplicity 2)
F2 0.000 0.212 0.500 (multiplicity 4)
F3 0.189 0.356 0.000 (multiplicity 8)

Output
Magnetic moment in μB/atom: 0.0000
Raw formation energy in eV per atom: -3.64
DFT total energy in eV/atom: -6.134